An optimized crystal structure of LaWO2. Source: Alexandria, functional GGA+U.

Structure (POSCAR):
```
LaWO2
1.0
2.0506 0.0000 6.4367
-1.0253 1.7759 6.4367
-1.0253 -1.7759 6.4367
W O La
1 2 1
Direct
0.5000 0.5000 0.5000
0.1220 0.1220 0.1220
0.8780 0.8780 0.8780
0.0000 0.0000 0.0000
```

DFT total energy	-7.147	eV per atom
symmetry	R-3m (166)